(1)
Pm3Si6Pd20: relaxed, PBE.

a = 8.757 Å, b = 8.757 Å, c = 8.757 Å
α = 60.00°, β = 60.00°, γ = 60.00°
Fractional coordinates of all 29 atoms:
Pm  0.000  0.000  0.000
Pm  0.250  0.250  0.250
Pm  0.750  0.750  0.750
Si  0.267  0.267  0.733
Si  0.267  0.733  0.267
Si  0.267  0.733  0.733
Si  0.733  0.267  0.267
Si  0.733  0.267  0.733
Si  0.733  0.733  0.267
Pd  0.000  0.000  0.347
Pd  0.000  0.000  0.653
Pd  0.000  0.347  0.000
Pd  0.000  0.347  0.653
Pd  0.000  0.653  0.000
Pd  0.000  0.653  0.347
Pd  0.155  0.615  0.615
Pd  0.347  0.000  0.000
Pd  0.347  0.000  0.653
Pd  0.347  0.653  0.000
Pd  0.385  0.385  0.385
Pd  0.385  0.385  0.845
Pd  0.385  0.845  0.385
Pd  0.615  0.155  0.615
Pd  0.615  0.615  0.155
Pd  0.615  0.615  0.615
Pd  0.653  0.000  0.000
Pd  0.653  0.000  0.347
Pd  0.653  0.347  0.000
Pd  0.845  0.385  0.385

Computed properties:
electronic total energy: -5.996 eV/atom
symmetry: No. 225
E_form (uncorrected): -0.802 eV per atom
total moment: 0.00 μB per cell

***

(2)
Pm2SiPd6: relaxed, PBE.

a = 5.771 Å, b = 5.771 Å, c = 5.747 Å
α = 90.00°, β = 90.00°, γ = 120.00°
Fractional coordinates of all 9 atoms:
Pm  0.333  0.667  0.184
Pm  0.667  0.333  0.816
Si  0.000  0.000  0.000
Pd  0.170  0.340  0.700
Pd  0.170  0.830  0.700
Pd  0.340  0.170  0.300
Pd  0.660  0.830  0.700
Pd  0.830  0.170  0.300
Pd  0.830  0.660  0.300

Computed properties:
electronic total energy: -5.953 eV/atom
symmetry: No. 164
E_form (uncorrected): -0.833 eV per atom
total moment: 0.00 μB per cell

***

(3)
Pm6Si2Pd: relaxed, PBE.

a = 6.361 Å, b = 8.089 Å, c = 11.830 Å
α = 90.00°, β = 122.48°, γ = 90.00°
Fractional coordinates of all 18 atoms:
Pm  0.086  0.165  0.441
Pm  0.086  0.335  0.941
Pm  0.309  0.683  0.436
Pm  0.309  0.817  0.936
Pm  0.401  0.040  0.263
Pm  0.401  0.460  0.763
Pm  0.599  0.540  0.237
Pm  0.599  0.960  0.737
Pm  0.691  0.183  0.064
Pm  0.691  0.317  0.564
Pm  0.914  0.665  0.059
Pm  0.914  0.835  0.559
Si  0.173  0.120  0.751
Si  0.173  0.380  0.251
Si  0.827  0.620  0.749
Si  0.827  0.880  0.249
Pd  0.000  0.000  0.000
Pd  0.000  0.500  0.500

Computed properties:
electronic total energy: -5.361 eV/atom
symmetry: No. 14
E_form (uncorrected): -0.411 eV per atom
total moment: 0.00 μB per cell

***

(4)
Pm2SiPd: relaxed, PBE.

a = 4.280 Å, b = 5.890 Å, c = 5.890 Å
α = 40.91°, β = 90.00°, γ = 90.00°
Fractional coordinates of all 4 atoms:
Pm  0.000  0.000  0.000
Pm  0.500  0.279  0.279
Si  0.000  0.716  0.716
Pd  0.500  0.568  0.568

Computed properties:
electronic total energy: -5.800 eV/atom
symmetry: No. 38
E_form (uncorrected): -0.771 eV per atom
total moment: 0.00 μB per cell

***

(5)
Pm3Si2Pd5: relaxed, PBE.

a = 8.873 Å, b = 8.873 Å, c = 8.873 Å
α = 98.35°, β = 94.44°, γ = 141.02°
Fractional coordinates of all 20 atoms:
Pm  0.113  0.711  0.824
Pm  0.250  0.250  0.000
Pm  0.387  0.211  0.598
Pm  0.613  0.789  0.402
Pm  0.750  0.750  0.000
Pm  0.887  0.289  0.176
Si  0.146  0.152  0.298
Si  0.354  0.652  0.006
Si  0.646  0.348  0.994
Si  0.854  0.848  0.702
Pd  0.011  0.250  0.761
Pd  0.135  0.351  0.486
Pd  0.250  0.750  0.500
Pd  0.365  0.851  0.216
Pd  0.489  0.250  0.239
Pd  0.511  0.750  0.761
Pd  0.635  0.149  0.784
Pd  0.750  0.250  0.500
Pd  0.865  0.649  0.514
Pd  0.989  0.750  0.239

Computed properties:
electronic total energy: -5.712 eV/atom
symmetry: No. 72
E_form (uncorrected): -0.606 eV per atom
total moment: 0.00 μB per cell

***

(6)
Pm3Si2SnPd9: relaxed, PBE.

a = 6.383 Å, b = 6.383 Å, c = 9.206 Å
α = 90.00°, β = 90.00°, γ = 120.00°
Fractional coordinates of all 15 atoms:
Pm  0.000  0.000  0.000
Pm  0.333  0.667  0.714
Pm  0.667  0.333  0.286
Si  0.333  0.667  0.168
Si  0.667  0.333  0.832
Sn  0.000  0.000  0.500
Pd  0.000  0.500  0.000
Pd  0.147  0.293  0.271
Pd  0.147  0.853  0.271
Pd  0.293  0.147  0.729
Pd  0.500  0.000  0.000
Pd  0.500  0.500  0.000
Pd  0.707  0.853  0.271
Pd  0.853  0.147  0.729
Pd  0.853  0.707  0.729

Computed properties:
electronic total energy: -5.682 eV/atom
symmetry: No. 164
E_form (uncorrected): -0.626 eV per atom
total moment: 0.00 μB per cell

***

(7)
Pm2SiSn3Pd4: relaxed, PBE.

a = 4.503 Å, b = 4.503 Å, c = 10.560 Å
α = 90.00°, β = 90.00°, γ = 90.00°
Fractional coordinates of all 10 atoms:
Pm  0.000  0.500  0.244
Pm  0.500  0.000  0.756
Si  0.500  0.500  0.000
Sn  0.000  0.000  0.000
Sn  0.000  0.500  0.634
Sn  0.500  0.000  0.366
Pd  0.000  0.000  0.500
Pd  0.000  0.500  0.882
Pd  0.500  0.000  0.118
Pd  0.500  0.500  0.500

Computed properties:
electronic total energy: -5.512 eV/atom
symmetry: No. 115
E_form (uncorrected): -0.741 eV per atom
total moment: 0.00 μB per cell

***

(8)
TbPmSiPd: relaxed, PBE.

a = 4.247 Å, b = 5.852 Å, c = 5.852 Å
α = 40.42°, β = 90.00°, γ = 90.00°
Fractional coordinates of all 4 atoms:
Tb  0.000  0.000  0.000
Pm  0.500  0.279  0.279
Si  0.500  0.558  0.558
Pd  0.000  0.708  0.708

Computed properties:
electronic total energy: -5.797 eV/atom
symmetry: No. 38
E_form (uncorrected): -0.797 eV per atom
total moment: 0.00 μB per cell